No. 1
DFT (PBE-GGA) results for an optimized crystal structure of Cd2SnHg6.

Values from the calculation:
* DOS(E_F): 0.359 states/eV/atom
* space-group type: R3 (146)
* size of the total moment: 0.00 Bohr magnetons per cell
* energy relative to the lowest polymorph listed for this composition: 21.2 meV/atom

Lattice parameters (Å, degrees): 7.360 7.360 6.659 56.45 56.45 60.00
Element x y z (fractional)
1 Cd 0.732 0.732 0.803
2 Cd 0.538 0.538 0.387
3 Sn 0.332 0.332 0.003
4 Hg 0.843 0.337 0.692
5 Hg 0.128 0.843 0.692
6 Hg 0.337 0.128 0.692
7 Hg 0.162 0.666 0.245
8 Hg 0.927 0.162 0.245
9 Hg 0.666 0.927 0.245

No. 2
DFT (PBE-GGA) results for an optimized crystal structure of In2ReAu.

Values from the calculation:
* DOS(E_F): 0.640 states/eV/atom
* space-group type: F-43m (216)
* size of the total moment: 0.00 Bohr magnetons per cell
* energy relative to the lowest polymorph listed for this composition: 371.3 meV/atom

Lattice parameters (Å, degrees): 4.759 4.759 4.759 60.00 60.00 60.00
Element x y z (fractional)
1 Au 0.500 0.500 0.500
2 In 0.000 0.000 0.000
3 In 0.750 0.750 0.750
4 Re 0.250 0.250 0.250

No. 3
DFT (PBE-GGA) results for an optimized crystal structure of K2CdSb.

Values from the calculation:
* DOS(E_F): 1.065 states/eV/atom
* energy relative to the elements, uncorrected: -159.5 meV/atom
* space-group type: Fm-3m (225)
* size of the total moment: 0.00 Bohr magnetons per cell
* energy relative to the lowest polymorph listed for this composition: 105.7 meV/atom

Lattice parameters (Å, degrees): 5.877 5.877 5.877 60.00 60.00 60.00
Element x y z (fractional)
1 Sb 0.500 0.500 0.500
2 K 0.250 0.250 0.250
3 K 0.750 0.750 0.750
4 Cd 0.000 0.000 0.000

No. 4
DFT (PBE-GGA) results for an optimized crystal structure of PmNdSe2.

Values from the calculation:
* DOS(E_F): 0.483 states/eV/atom
* energy relative to the elements, uncorrected: -1823.3 meV/atom
* space-group type: P6_3/mmc (194)
* size of the total moment: 0.00 Bohr magnetons per cell
* energy relative to the lowest polymorph listed for this composition: 13.8 meV/atom

Lattice parameters (Å, degrees): 4.146 4.146 14.258 90.00 90.00 120.00
Element x y z (fractional)
1 Pm 0.667 0.333 0.250
2 Pm 0.333 0.667 0.750
3 Nd 0.000 0.000 0.500
4 Nd 0.000 0.000 0.000
5 Se 0.333 0.667 0.376
6 Se 0.667 0.333 0.876
7 Se 0.667 0.333 0.624
8 Se 0.333 0.667 0.124